(1)
{
  "formula": "Ti2Ni9As",
  "functional": "GGA-PBE",
  "state": "relaxed",
  "lattice": [[3.5993, 0.0000, 0.0000], [0.0000, 3.5993, 0.0000], [0.0000, 0.0000, 10.8292]],
  "species": ["Ti", "Ti", "Ni", "Ni", "Ni", "Ni", "Ni", "Ni", "Ni", "Ni", "Ni", "As"],
  "fractional_positions": [[0.0000, 0.0000, 0.1659], [0.0000, 0.0000, 0.8341], [0.0000, 0.5000, 0.0000], [0.0000, 0.5000, 0.3332], [0.0000, 0.5000, 0.6668], [0.5000, 0.0000, 0.0000], [0.5000, 0.0000, 0.3332], [0.5000, 0.0000, 0.6668], [0.5000, 0.5000, 0.1679], [0.5000, 0.5000, 0.5000], [0.5000, 0.5000, 0.8321], [0.0000, 0.0000, 0.5000]],
  "magnetic_moment_mub_per_atom": 0.000,
  "dos_ef_per_ev_atom": 0.251,
  "final_energy_ev_per_atom": -6.413,
  "delta_e_f_mev_per_atom": -374
}

(2)
{
  "formula": "TiNi2As2",
  "functional": "GGA-PBE",
  "state": "relaxed",
  "lattice": [[6.8026, 0.0000, 0.0000], [0.0000, 6.8026, 0.0000], [0.0000, 0.0000, 3.0748]],
  "species": ["Ti", "Ti", "Ni", "Ni", "Ni", "Ni", "As", "As", "As", "As"],
  "fractional_positions": [[0.0000, 0.0000, 0.0000], [0.5000, 0.5000, 0.0000], [0.1238, 0.3762, 0.0000], [0.3762, 0.8762, 0.0000], [0.6238, 0.1238, 0.0000], [0.8762, 0.6238, 0.0000], [0.1800, 0.6800, 0.5000], [0.3200, 0.1800, 0.5000], [0.6800, 0.8200, 0.5000], [0.8200, 0.3200, 0.5000]],
  "magnetic_moment_mub_per_atom": 0.000,
  "dos_ef_per_ev_atom": 0.616,
  "final_energy_ev_per_atom": -5.998,
  "delta_e_f_mev_per_atom": -246
}

What is the formula in the first record?
Ti2Ni9As